Record 1
This record from Alexandria describes Te2RuRh after structural relaxation. The functional is PBE-GGA.

Theoretical density (g cm⁻³): 8.9
Uncorrected energy (eV per cell): -22.92

```
4
Lattice="5.045 0.000 0.000 0.000 3.864 0.013 0.000 1.042 4.393" Properties=species:S:1:pos:R:3 pbc="T T T"
Ru 2.522 3.648 3.314
Te 2.522 1.751 1.579
Te 0.000 4.378 3.940
Rh 0.000 2.489 2.181
```

Record 2
This record from Alexandria describes TeRuRh2 after structural relaxation. The functional is PBE-GGA.

Theoretical density (g cm⁻³): 11.2
Uncorrected energy (eV per cell): -26.23

```
4
Lattice="3.007 0.000 0.000 0.000 3.726 0.000 0.000 0.000 5.770" Properties=species:S:1:pos:R:3 pbc="T T T"
Ru 0.000 0.000 2.730
Te 1.503 1.863 4.354
Rh 0.000 0.000 0.074
Rh 1.503 1.863 1.497
```

Record 3
This record from Alexandria describes Te2RuRh after structural relaxation. The functional is PBE-GGA.

Theoretical density (g cm⁻³): 10.2
Uncorrected energy (eV per cell): -22.07

```
4
Lattice="4.171 -1.529 -1.617 2.126 -3.686 2.058 0.282 -4.136 -2.271" Properties=species:S:1:pos:R:3 pbc="T T T"
Te 4.934 -7.014 -1.373
Ru 0.000 0.000 0.000
Te 1.645 -2.338 -0.458
Rh 3.289 -4.676 -0.915
```

Record 4
This record from Alexandria describes TeRu2Rh after structural relaxation. The functional is PBE-GGA.

Theoretical density (g cm⁻³): 11.2
Uncorrected energy (eV per cell): -27.55

```
4
Lattice="-2.651 0.846 -1.057 0.023 -2.878 -2.361 -2.629 -3.276 3.969" Properties=species:S:1:pos:R:3 pbc="T T T"
Rh -3.286 -3.473 1.268
Te -1.971 -1.835 -0.717
Ru -1.367 -1.703 2.063
Ru -2.577 -3.211 3.890
```